FeCu2Mo: relaxed, PBE.

a = 4.7972 Å, b = 4.7972 Å, c = 2.5308 Å
α = 89.94°, β = 89.94°, γ = 117.54°
Closest atoms and distances in Å follow each position.
Element x y z (fractional)
1 Cu 0.0000 0.0000 0.0000  4 Cu 2.49-2.53, 4 Fe 2.71, 4 Mo 2.71
2 Cu 0.5000 0.5000 0.0000  4 Cu 2.49-2.53, 4 Mo 2.71, 4 Fe 2.71
3 Fe 0.5000 0.0000 0.5000  2 Mo 2.49, 2 Fe 2.53, 8 Cu 2.71
4 Mo 0.0000 0.5000 0.5000  2 Fe 2.49, 2 Mo 2.53, 8 Cu 2.71

As for the energy above the lowest structure with this stoichiometry: 0.1341 eV per atom. The symmetry is Cmmm. The value obtained for the formation enthalpy at 0 K is 0.29 eV per atom.